1.
Material: PrMgTl
Method: DFT, PBE
State: optimized geometry

Cell lengths 5.0839, 5.0839, 5.0839 Å; angles 60.00, 60.00, 60.00 degrees
Element x y z (fractional)
Pr 0.0000 0.0000 0.0000
Mg 0.5000 0.5000 0.5000
Tl 0.7500 0.7500 0.7500

Calculated values
DFT total energy ... -3.112 eV/atom
Spin magnetization ... 0.0 μB per formula unit

=====

2.
Material: PrMgTl
Method: DFT, PBE
State: optimized geometry

Cell lengths 7.7605, 7.7605, 4.7816 Å; angles 90.00, 90.00, 120.00 degrees
Element x y z (fractional)
Pr 0.0000 0.5734 0.0000
Pr 0.4266 0.4266 0.0000
Pr 0.5734 0.0000 0.0000
Mg 0.0000 0.2422 0.5000
Mg 0.2422 0.0000 0.5000
Mg 0.7578 0.7578 0.5000
Tl 0.0000 0.0000 0.0000
Tl 0.3333 0.6667 0.5000
Tl 0.6667 0.3333 0.5000

Calculated values
DFT total energy ... -3.256 eV/atom
Spin magnetization ... 0.0 μB per formula unit